Entry 1:
DFT (GGA-PBE) results for an optimized crystal structure of Ti2VInC.

Results
E_tot = -7.789 eV/atom
calculated formation energy = -415 meV per atom

Cell and atoms, written as POSCAR:
```
Ti2VInC
1.0
4.286 0.000 0.000
0.000 4.286 0.000
0.000 0.000 4.002
Ti V In C
2 1 1 1
direct
0.000 0.500 0.000
0.500 0.000 0.000
0.000 0.000 0.500
0.500 0.500 0.500
0.000 0.000 0.000
```

=====

Entry 2:
DFT (GGA-PBE) results for an optimized crystal structure of TiV2InC.

Results
E_tot = -7.888 eV/atom
calculated formation energy = -269 meV per atom

Cell and atoms, written as POSCAR:
```
TiV2InC
1.0
4.043 0.000 0.000
0.000 4.043 0.000
0.000 0.000 4.305
C V In Ti
1 2 1 1
direct
0.000 0.000 0.000
0.500 0.000 0.000
0.000 0.500 0.000
0.500 0.500 0.500
0.000 0.000 0.500
```

=====

> Which value of calculated formation energy does entry 1 give?

-415 meV per atom